DFT (GGA-PBE) results for a geometry-optimized Ba4As2Au structure.

## Properties
- crystal system = trigonal
- calculated density (g/cm³) = 5.2
- E_tot (eV/cell) = -26.43
- total moment (Bohr magnetons per cell) = 0.90
- energy of formation from the pure elements (kJ/mol of formula units) = -594.4

Cell lengths 13.507, 13.507, 13.507 Å; angles 21.32, 21.32, 21.32 degrees
Atoms (fractional coordinates):
Ba  0.117  0.117  0.117
Ba  0.299  0.299  0.299
Ba  0.701  0.701  0.701
Ba  0.883  0.883  0.883
As  0.401  0.401  0.401
As  0.599  0.599  0.599
Au  0.500  0.500  0.500